(1)
Below is a relaxed structure of Mn4AuN, with properties calculated at the GGA-PBE level.

The structure in CIF format:
```
data_Mn4AuN
_symmetry_space_group_name_H-M 'C 1 2/c 1'
_symmetry_Int_Tables_number 15
_symmetry_space_group_name_Hall '-C 2yc'
_cell_length_a 12.4217
_cell_length_b 4.7543
_cell_length_c 5.3890
_cell_angle_alpha 90.00
_cell_angle_beta 105.31
_cell_angle_gamma 90.00
loop_
_atom_site_label
_atom_site_type_symbol
_atom_site_fract_x
_atom_site_fract_y
_atom_site_fract_z
_atom_site_occupancy
Mn1 Mn 0.1025 0.0746 0.4500 1
Mn2 Mn 0.2029 0.4224 0.1627 1
Au1 Au 0.0000 0.4067 0.7500 1
N1 N 0.2500 0.2500 0.5000 1
```

Output
Spin magnetization, μB per atom: 1.96
Total energy, eV/atom: -8.074
Formation energy without anion corrections, eV per atom: -0.0274

(2)
Below is a relaxed structure of HgPdRh2N, with properties calculated at the GGA-PBE level.

The structure in CIF format:
```
data_HgPdRh2N
_symmetry_space_group_name_H-M 'P 4/m m m'
_symmetry_Int_Tables_number 123
_symmetry_space_group_name_Hall '-P 4 2'
_cell_length_a 4.0634
_cell_length_b 4.0634
_cell_length_c 4.3968
_cell_angle_alpha 90.00
_cell_angle_beta 90.00
_cell_angle_gamma 90.00
loop_
_atom_site_label
_atom_site_type_symbol
_atom_site_fract_x
_atom_site_fract_y
_atom_site_fract_z
_atom_site_occupancy
Hg1 Hg 0.0000 0.0000 0.0000 1
Pd1 Pd 0.5000 0.5000 0.0000 1
Rh1 Rh 0.0000 0.5000 0.5000 1
N1 N 0.5000 0.5000 0.5000 1
```

Output
Spin magnetization, μB per atom: 0.00
Total energy, eV/atom: -5.552
Formation energy without anion corrections, eV per atom: 0.1528

(3)
Below is a relaxed structure of ZnCoAs2, with properties calculated at the GGA-PBE level.

The structure in CIF format:
```
data_ZnCoAs2
_symmetry_space_group_name_H-M 'F -4 3 m'
_symmetry_Int_Tables_number 216
_symmetry_space_group_name_Hall 'F -4 2 3'
_cell_length_a 6.2943
_cell_length_b 6.2943
_cell_length_c 6.2943
_cell_angle_alpha 90.00
_cell_angle_beta 90.00
_cell_angle_gamma 90.00
loop_
_atom_site_label
_atom_site_type_symbol
_atom_site_fract_x
_atom_site_fract_y
_atom_site_fract_z
_atom_site_occupancy
Zn1 Zn 0.0000 0.0000 0.0000 1
Co1 Co 0.2500 0.2500 0.7500 1
As1 As 0.0000 0.0000 0.5000 1
As2 As 0.2500 0.2500 0.2500 1
```

Output
Spin magnetization, μB per atom: 0.14
Total energy, eV/atom: -3.980

(4)
Below is a relaxed structure of Ce2CdN, with properties calculated at the GGA-PBE level.

The structure in CIF format:
```
data_Ce2CdN
_symmetry_space_group_name_H-M 'C m c m'
_symmetry_Int_Tables_number 63
_symmetry_space_group_name_Hall '-C 2c 2'
_cell_length_a 3.4268
_cell_length_b 19.9446
_cell_length_c 5.0893
_cell_angle_alpha 90.00
_cell_angle_beta 90.00
_cell_angle_gamma 90.00
loop_
_atom_site_label
_atom_site_type_symbol
_atom_site_fract_x
_atom_site_fract_y
_atom_site_fract_z
_atom_site_occupancy
Ce1 Ce 0.0000 0.1155 0.2500 1
Ce2 Ce 0.0000 0.2902 0.2500 1
Cd1 Cd 0.0000 0.4595 0.2500 1
N1 N 0.0000 0.2989 0.7500 1
```

Output
Spin magnetization, μB per atom: 0.29
Total energy, eV/atom: -6.106
Formation energy without anion corrections, eV per atom: -0.8290

(5)
Below is a relaxed structure of PrNd2Al, with properties calculated at the GGA-PBE level.

The structure in CIF format:
```
data_PrNd2Al
_symmetry_space_group_name_H-M 'P 4/m m m'
_symmetry_Int_Tables_number 123
_symmetry_space_group_name_Hall '-P 4 2'
_cell_length_a 4.9121
_cell_length_b 4.9121
_cell_length_c 4.9058
_cell_angle_alpha 90.00
_cell_angle_beta 90.00
_cell_angle_gamma 90.00
loop_
_atom_site_label
_atom_site_type_symbol
_atom_site_fract_x
_atom_site_fract_y
_atom_site_fract_z
_atom_site_occupancy
Pr1 Pr 0.0000 0.0000 0.0000 1
Nd1 Nd 0.0000 0.5000 0.5000 1
Al1 Al 0.5000 0.5000 0.0000 1
```

Output
Spin magnetization, μB per atom: 0.00
Total energy, eV/atom: -4.680

(6)
Below is a relaxed structure of Nd2MgSiPd6, with properties calculated at the GGA-PBE level.

The structure in CIF format:
```
data_Nd2MgSiPd6
_symmetry_space_group_name_H-M 'P -1'
_symmetry_Int_Tables_number 2
_symmetry_space_group_name_Hall '-P 1'
_cell_length_a 5.5996
_cell_length_b 6.3729
_cell_length_c 6.8749
_cell_angle_alpha 81.06
_cell_angle_beta 66.02
_cell_angle_gamma 63.97
loop_
_atom_site_label
_atom_site_type_symbol
_atom_site_fract_x
_atom_site_fract_y
_atom_site_fract_z
_atom_site_occupancy
Nd1 Nd 0.0195 0.2362 0.2248 1
Mg1 Mg 0.5000 0.5000 0.0000 1
Si1 Si 0.5000 0.0000 0.5000 1
Pd1 Pd 0.0179 0.2182 0.7476 1
Pd2 Pd 0.3481 0.4034 0.4031 1
Pd3 Pd 0.4843 0.7829 0.2510 1
```

Output
Spin magnetization, μB per atom: 0.00
Total energy, eV/atom: -5.423
Formation energy without anion corrections, eV per atom: -0.6520

(7)
Below is a relaxed structure of BaScTeI2, with properties calculated at the GGA-PBE level.

The structure in CIF format:
```
data_BaScTeI2
_symmetry_space_group_name_H-M 'P 4/m m m'
_symmetry_Int_Tables_number 123
_symmetry_space_group_name_Hall '-P 4 2'
_cell_length_a 6.4231
_cell_length_b 6.4231
_cell_length_c 6.7326
_cell_angle_alpha 90.00
_cell_angle_beta 90.00
_cell_angle_gamma 90.00
loop_
_atom_site_label
_atom_site_type_symbol
_atom_site_fract_x
_atom_site_fract_y
_atom_site_fract_z
_atom_site_occupancy
Ba1 Ba 0.0000 0.0000 0.0000 1
Sc1 Sc 0.5000 0.5000 0.5000 1
Te1 Te 0.0000 0.0000 0.5000 1
I1 I 0.0000 0.5000 0.0000 1
```

Output
Spin magnetization, μB per atom: 0.20
Total energy, eV/atom: -3.136
Formation energy without anion corrections, eV per atom: -0.2365

(8)
Below is a relaxed structure of Gd3Y5Se12, with properties calculated at the GGA-PBE level.

The structure in CIF format:
```
data_Gd3Y5Se12
_symmetry_space_group_name_H-M 'I a -3 d'
_symmetry_Int_Tables_number 230
_symmetry_space_group_name_Hall '-I 4bd 2c 3'
_cell_length_a 16.8996
_cell_length_b 16.8996
_cell_length_c 16.8996
_cell_angle_alpha 90.00
_cell_angle_beta 90.00
_cell_angle_gamma 90.00
loop_
_atom_site_label
_atom_site_type_symbol
_atom_site_fract_x
_atom_site_fract_y
_atom_site_fract_z
_atom_site_occupancy
Gd1 Gd 0.0000 0.2500 0.1250 1
Y1 Y 0.0000 0.0000 0.0000 1
Y2 Y 0.0000 0.2500 0.3750 1
Se1 Se 0.0218 0.0711 0.6524 1
```

Output
Spin magnetization, μB per atom: 1.05
Total energy, eV/atom: -7.507
Formation energy without anion corrections, eV per atom: -1.6881

(9)
Below is a relaxed structure of PuAl3Zn6, with properties calculated at the GGA-PBE level.

The structure in CIF format:
```
data_PuAl3Zn6
_symmetry_space_group_name_H-M 'P 1 21/c 1'
_symmetry_Int_Tables_number 14
_symmetry_space_group_name_Hall '-P 2ybc'
_cell_length_a 6.8042
_cell_length_b 6.9268
_cell_length_c 8.6155
_cell_angle_alpha 90.00
_cell_angle_beta 121.92
_cell_angle_gamma 90.00
loop_
_atom_site_label
_atom_site_type_symbol
_atom_site_fract_x
_atom_site_fract_y
_atom_site_fract_z
_atom_site_occupancy
Pu1 Pu 0.0000 0.0000 0.0000 1
Al1 Al 0.2420 0.1650 0.4072 1
Al2 Al 0.5000 0.0000 0.0000 1
Zn1 Zn 0.1421 0.0324 0.6680 1
Zn2 Zn 0.2226 0.7054 0.8678 1
Zn3 Zn 0.4908 0.7297 0.2335 1
```

Output
Spin magnetization, μB per atom: 0.58
Total energy, eV/atom: -3.387

(10)
Below is a relaxed structure of PrIn5Te4, with properties calculated at the GGA-PBE level.

The structure in CIF format:
```
data_PrIn5Te4
_symmetry_space_group_name_H-M 'C 1 2/m 1'
_symmetry_Int_Tables_number 12
_symmetry_space_group_name_Hall '-C 2y'
_cell_length_a 21.3298
_cell_length_b 4.6688
_cell_length_c 7.7579
_cell_angle_alpha 90.00
_cell_angle_beta 110.35
_cell_angle_gamma 90.00
loop_
_atom_site_label
_atom_site_type_symbol
_atom_site_fract_x
_atom_site_fract_y
_atom_site_fract_z
_atom_site_occupancy
Pr1 Pr 0.0000 0.0000 0.0000 1
In1 In 0.0000 0.0000 0.5000 1
In2 In 0.1893 0.5000 0.6753 1
In3 In 0.1948 0.5000 0.1737 1
Te1 Te 0.0655 0.5000 0.8329 1
Te2 Te 0.1369 0.0000 0.3616 1
```

Output
Spin magnetization, μB per atom: 0.00
Total energy, eV/atom: -3.567
Formation energy without anion corrections, eV per atom: -0.4630

(11)
Below is a relaxed structure of LiSnBi2, with properties calculated at the GGA-PBE level.

The structure in CIF format:
```
data_LiSnBi2
_symmetry_space_group_name_H-M 'I -4 2 d'
_symmetry_Int_Tables_number 122
_symmetry_space_group_name_Hall 'I -4 2bw'
_cell_length_a 6.8709
_cell_length_b 6.8709
_cell_length_c 12.1826
_cell_angle_alpha 90.00
_cell_angle_beta 90.00
_cell_angle_gamma 90.00
loop_
_atom_site_label
_atom_site_type_symbol
_atom_site_fract_x
_atom_site_fract_y
_atom_site_fract_z
_atom_site_occupancy
Li1 Li 0.0000 0.0000 0.0000 1
Sn1 Sn 0.0000 0.0000 0.5000 1
Bi1 Bi 0.2332 0.2500 0.1250 1
```

Output
Spin magnetization, μB per atom: 0.00
Total energy, eV/atom: -3.365